Record 1
# Ti2CdRe

Ti2CdRe after structural relaxation (PBE, the Alexandria database).

Results
DFT total energy   -7.538 eV per atom

Unit cell a=3.184 b=3.184 c=6.747 alpha=90.00 beta=90.00 gamma=90.00
Atoms (fractional coordinates):
Re: 0.500 0.500 0.000
Ti: 0.000 0.000 0.214
Cd: 0.500 0.500 0.500
Ti: 0.000 0.000 0.786

=====

Record 2
# TiCd2Re

TiCd2Re after structural relaxation (PBE, the Alexandria database).

Results
DFT total energy   -4.906 eV per atom

Unit cell a=3.846 b=3.846 c=10.717 alpha=79.66 beta=79.66 gamma=90.00
Atoms (fractional coordinates):
Cd: 0.875 0.881 0.750
Ti: 0.500 0.500 0.000
Re: 0.750 0.250 0.500
Re: 0.000 0.000 0.000
Cd: 0.631 0.125 0.250
Ti: 0.250 0.750 0.500
Cd: 0.375 0.369 0.750
Cd: 0.119 0.625 0.250

=====

Record 3
# TiCd2Re

TiCd2Re after structural relaxation (PBE, the Alexandria database).

Results
DFT total energy   -4.995 eV per atom

Unit cell a=4.644 b=4.644 c=4.644 alpha=60.00 beta=60.00 gamma=60.00
Atoms (fractional coordinates):
Re: 0.500 0.500 0.500
Cd: 0.250 0.250 0.250
Ti: 0.000 0.000 0.000
Cd: 0.750 0.750 0.750